*a*
A plane-wave DFT calculation with GGA-PBE was carried out for a relaxed Rb2CaCl crystal.

Calculated values
Space group: I-42d (122)
Calculated volume (A^3/atom): 59.9

Lattice parameters (Å, degrees): 10.077 10.077 8.547 53.88 53.88 90.00
Sites, in units of the cell vectors:
Rb  0.526  0.125  0.250
Rb  0.224  0.625  0.250
Rb  0.875  0.776  0.750
Rb  0.375  0.474  0.750
Ca  0.000  0.000  0.000
Ca  0.750  0.250  0.500
Cl  0.250  0.750  0.500
Cl  0.500  0.500  0.000


*b*
A plane-wave DFT calculation with GGA-PBE was carried out for a relaxed Rb2CaCl crystal.

Calculated values
Space group: Fm-3m (225)
Calculated volume (A^3/atom): 55.5

Lattice parameters (Å, degrees): 6.798 6.798 6.798 60.00 60.00 60.00
Sites, in units of the cell vectors:
Rb  0.750  0.750  0.750
Rb  0.250  0.250  0.250
Cl  0.000  0.000  0.000
Ca  0.500  0.500  0.500


In terms of stability, *a* leads; the second structure lies 26.7 kJ/mol of atoms higher.